No. 1
TaCu2Tc | Alexandria via LeMat-Bulk | PBE-GGA | optimized geometry; DOS(E_F) = 14.91 states/eV per cell; symmetry = F-43m (216); total magnetic moment = 0.0 μB/f.u.; energy = -29.7 eV/f.u.
1.0
6.1509 0.0000 0.0000
0.0000 6.1509 0.0000
0.0000 0.0000 6.1509
Ta Cu Tc
4 8 4
direct
0.0000 0.0000 0.0000
0.0000 0.5000 0.5000
0.5000 0.0000 0.5000
0.5000 0.5000 0.0000
0.0000 0.0000 0.5000
0.0000 0.5000 0.0000
0.2500 0.2500 0.7500
0.2500 0.7500 0.2500
0.5000 0.0000 0.0000
0.5000 0.5000 0.5000
0.7500 0.2500 0.2500
0.7500 0.7500 0.7500
0.2500 0.2500 0.2500
0.2500 0.7500 0.7500
0.7500 0.2500 0.7500
0.7500 0.7500 0.2500

---

No. 2
Ta2CuTc | Alexandria via LeMat-Bulk | PBE-GGA | optimized geometry; DOS(E_F) = 3.72 states/eV per cell; symmetry = F-43m (216); total magnetic moment = 0.0 μB/f.u.; energy = -37.7 eV/f.u.
1.0
6.3170 0.0000 0.0000
0.0000 6.3170 0.0000
0.0000 0.0000 6.3170
Ta Cu Tc
8 4 4
direct
0.0000 0.0000 0.0000
0.0000 0.5000 0.5000
0.2500 0.2500 0.2500
0.2500 0.7500 0.7500
0.5000 0.0000 0.5000
0.5000 0.5000 0.0000
0.7500 0.2500 0.7500
0.7500 0.7500 0.2500
0.0000 0.0000 0.5000
0.0000 0.5000 0.0000
0.5000 0.0000 0.0000
0.5000 0.5000 0.5000
0.2500 0.2500 0.7500
0.2500 0.7500 0.2500
0.7500 0.2500 0.2500
0.7500 0.7500 0.7500